# 1
Crystalline Rb2InFeCl at its relaxed geometry. Source: the Alexandria database, functional GGA-PBE.

```
Rb2InFeCl
1.0
-4.766 1.805 -4.002
2.837 -1.257 -3.944
-2.421 -6.008 0.173
Cl Fe Rb In
1 1 2 1
Cartesian
-2.175 -2.730 -3.887 Cl
0.000 0.000 0.000 Fe
-1.210 -3.004 0.087 Rb
-2.383 0.902 -2.001 Rb
1.418 -0.628 -1.972 In
```

Raw formation energy (eV/atom): 0.01
Spin magnetization (μB/atom): 0.39
Total DFT energy (no corrections) (eV for the cell shown): -14.94

=====

# 2
Crystalline ZrTeRh2 at its relaxed geometry. Source: the Alexandria database, functional GGA-PBE.

```
ZrTeRh2
1.0
8.505 0.075 0.045
7.845 3.286 0.045
7.845 1.613 2.863
Rh Te Zr
2 1 1
Cartesian
0.103 0.021 0.013 Rh
11.994 2.465 1.463 Rh
6.049 1.243 0.738 Te
18.146 3.730 2.214 Zr
```

Raw formation energy (eV/atom): -0.23
Spin magnetization (μB/atom): 0.00
Total DFT energy (no corrections) (eV for the cell shown): -27.32
Distance to the lowest polymorph of the same formula (kcal/mol of atoms): 6.93